# Ag3SbSe3 (PBE, relaxed)
data_Ag3SbSe3
_space_group_name_H-M_alt 'P 1 21/c 1'
_space_group_IT_number 14
_cell_length_a 6.497
_cell_length_b 10.170
_cell_length_c 11.013
_cell_angle_alpha 90.00
_cell_angle_beta 90.03
_cell_angle_gamma 90.00
loop_
_space_group_symop_operation_xyz
'x,y,z'
'-x,-y,-z'
'-x,y+1/2,-z+1/2'
'x,-y+1/2,z+1/2'
loop_
_atom_site_label
_atom_site_type_symbol
_atom_site_fract_x
_atom_site_fract_y
_atom_site_fract_z
Ag1 Ag 0.115 0.169 0.199
Ag2 Ag 0.317 0.081 0.973
Ag3 Ag 0.384 0.649 0.314
Sb1 Sb 0.255 0.583 0.962
Se1 Se 0.109 0.034 0.658
Se2 Se 0.125 0.654 0.492
Se3 Se 0.392 0.190 0.370
# * formation energy (no corrections): -7.1 kJ/mol of atoms
# * relative energy among the computed polymorphs: 28 meV per atom

# LaTbPt10 (PBE, relaxed)
data_LaTbPt10
_space_group_name_H-M_alt 'P m m m'
_space_group_IT_number 47
_cell_length_a 4.447
_cell_length_b 5.419
_cell_length_c 9.348
_cell_angle_alpha 90.00
_cell_angle_beta 90.00
_cell_angle_gamma 90.00
loop_
_space_group_symop_operation_xyz
'x,y,z'
'-x,-y,-z'
'-x,-y,z'
'x,y,-z'
'x,-y,-z'
'-x,y,z'
'-x,y,-z'
'x,-y,z'
loop_
_atom_site_label
_atom_site_type_symbol
_atom_site_fract_x
_atom_site_fract_y
_atom_site_fract_z
La1 La 0.000 0.000 0.000
Tb1 Tb 0.000 0.500 0.500
Pt1 Pt 0.000 0.000 0.336
Pt2 Pt 0.000 0.500 0.171
Pt3 Pt 0.500 0.000 0.500
Pt4 Pt 0.500 0.251 0.253
Pt5 Pt 0.500 0.500 0.000
# * N(E_F): 8.89 states/eV/cell
# * energy relative to the elements: -0.736 eV per atom

# Ho2PtAu2 (PBE, relaxed)
data_Ho2PtAu2
_space_group_name_H-M_alt 'C m m m'
_space_group_IT_number 65
_space_group_name_Hall '-C 2 2'
_cell_length_a 3.924
_cell_length_b 15.518
_cell_length_c 3.579
_cell_angle_alpha 90.00
_cell_angle_beta 90.00
_cell_angle_gamma 90.00
loop_
_atom_site_label
_atom_site_type_symbol
_atom_site_fract_x
_atom_site_fract_y
_atom_site_fract_z
Ho1 Ho 0.000 0.107 0.000
Pt1 Pt 0.000 0.500 0.500
Au1 Au 0.000 0.313 0.500
# * N(E_F): 2.79 states/eV/cell
# * energy relative to the elements: -0.925 eV per atom

# Ac4P2H (PBE, relaxed)
data_Ac4P2H
_space_group_name_H-M_alt 'I 4/m m m'
_space_group_IT_number 139
_space_group_name_Hall '-I 4 2'
_cell_length_a 4.808
_cell_length_b 4.808
_cell_length_c 16.832
_cell_angle_alpha 90.00
_cell_angle_beta 90.00
_cell_angle_gamma 90.00
loop_
_atom_site_label
_atom_site_type_symbol
_atom_site_fract_x
_atom_site_fract_y
_atom_site_fract_z
Ac1 Ac 0.000 0.000 0.181
Ac2 Ac 0.000 0.500 0.000
P1 P 0.000 0.000 0.368
H1 H 0.000 0.000 0.000
# * N(E_F): 10.71 states/eV/cell

# AgMo2P (PBE, relaxed)
data_AgMo2P
_space_group_name_H-M_alt 'P 1 2/m 1'
_space_group_IT_number 10
_cell_length_a 3.009
_cell_length_b 3.484
_cell_length_c 6.133
_cell_angle_alpha 90.00
_cell_angle_beta 100.64
_cell_angle_gamma 90.00
loop_
_space_group_symop_operation_xyz
'x,y,z'
'-x,-y,-z'
'-x,y,-z'
'x,-y,z'
loop_
_atom_site_label
_atom_site_type_symbol
_atom_site_fract_x
_atom_site_fract_y
_atom_site_fract_z
Ag1 Ag 0.000 0.000 0.000
Mo1 Mo 0.395 0.500 0.707
P1 P 0.000 0.000 0.500
# * N(E_F): 3.33 states/eV/cell
# * energy relative to the elements: 0.207 eV per atom

# CdAu2Cl (PBE, relaxed)
data_CdAu2Cl
_space_group_name_H-M_alt 'I -4 m 2'
_space_group_IT_number 119
_space_group_name_Hall 'I -4 -2'
_cell_length_a 4.736
_cell_length_b 4.736
_cell_length_c 7.275
_cell_angle_alpha 90.00
_cell_angle_beta 90.00
_cell_angle_gamma 90.00
loop_
_atom_site_label
_atom_site_type_symbol
_atom_site_fract_x
_atom_site_fract_y
_atom_site_fract_z
Cd1 Cd 0.000 0.000 0.000
Au1 Au 0.000 0.000 0.500
Au2 Au 0.000 0.500 0.250
Cl1 Cl 0.000 0.500 0.750
# * formation energy (no corrections): 10.3 kJ/mol of atoms
# * N(E_F): 2.22 states/eV/cell
# * relative energy among the computed polymorphs: 364 meV per atom

no.,DFT total energy (eV/atom)
1,-3.378
2,-6.566
3,-5.275
4,-5.029
5,-7.274
6,-2.222